Density functional theory data (PBE) for crystalline Pm4Tl3Ir at its relaxed geometry.

Results
space group = P4/mmm
DFT formation energy = -0.451 eV/atom

Structure (CIF):
```
data_Pm4Tl3Ir
_chemical_formula_sum 'Pm4 Tl3 Ir1'
_cell_length_a 3.635
_cell_length_b 3.635
_cell_length_c 16.584
_cell_angle_alpha 90.00
_cell_angle_beta 90.00
_cell_angle_gamma 90.00
_space_group_name_H-M_alt 'P 1'
_space_group_IT_number 1
loop_
_space_group_symop_operation_xyz
'x,y,z'
loop_
_atom_site_label
_atom_site_type_symbol
_atom_site_fract_x
_atom_site_fract_y
_atom_site_fract_z
_atom_site_occupancy
Tl1 Tl 0.500 0.500 0.240 1
Tl2 Tl 0.500 0.500 0.500 1
Tl3 Tl 0.500 0.500 0.760 1
Ir1 Ir 0.500 0.500 0.000 1
Pm1 Pm 0.000 0.000 0.900 1
Pm2 Pm 0.000 0.000 0.100 1
Pm3 Pm 0.000 0.000 0.368 1
Pm4 Pm 0.000 0.000 0.632 1
```

Density functional theory data (PBE) for crystalline PmTlIr at its relaxed geometry.

Results
E above lowest polymorph = 0.120 eV per atom
space group = I4mm
DFT formation energy = -0.207 eV/atom

Structure (CIF):
```
data_PmTlIr
_chemical_formula_sum 'Pm1 Tl1 Ir1'
_cell_length_a 3.546
_cell_length_b 3.546
_cell_length_c 6.125
_cell_angle_alpha 106.83
_cell_angle_beta 106.83
_cell_angle_gamma 90.00
_space_group_name_H-M_alt 'P 1'
_space_group_IT_number 1
loop_
_space_group_symop_operation_xyz
'x,y,z'
loop_
_atom_site_label
_atom_site_type_symbol
_atom_site_fract_x
_atom_site_fract_y
_atom_site_fract_z
_atom_site_occupancy
Tl1 Tl 0.639 0.639 0.279 1
Ir1 Ir 0.283 0.283 0.567 1
Pm1 Pm 0.927 0.927 0.854 1
```

Density functional theory data (PBE) for crystalline Pm12Tl5Ir2 at its relaxed geometry.

Results
space group = C2/m
DFT formation energy = -0.218 eV/atom

Structure (CIF):
```
data_Pm12Tl5Ir2
_chemical_formula_sum 'Pm12 Tl5 Ir2'
_cell_length_a 7.945
_cell_length_b 9.576
_cell_length_c 9.926
_cell_angle_alpha 104.87
_cell_angle_beta 90.00
_cell_angle_gamma 114.51
_space_group_name_H-M_alt 'P 1'
_space_group_IT_number 1
loop_
_space_group_symop_operation_xyz
'x,y,z'
loop_
_atom_site_label
_atom_site_type_symbol
_atom_site_fract_x
_atom_site_fract_y
_atom_site_fract_z
_atom_site_occupancy
Pm1 Pm 0.988 0.976 0.175 1
Pm2 Pm 0.100 0.673 0.908 1
Pm3 Pm 0.572 0.673 0.908 1
Pm4 Pm 0.096 0.700 0.426 1
Pm5 Pm 0.604 0.700 0.426 1
Pm6 Pm 0.499 0.998 0.765 1
Pm7 Pm 0.501 0.002 0.235 1
Pm8 Pm 0.904 0.300 0.574 1
Pm9 Pm 0.396 0.300 0.574 1
Pm10 Pm 0.900 0.327 0.092 1
Pm11 Pm 0.428 0.327 0.092 1
Pm12 Pm 0.012 0.024 0.825 1
Tl1 Tl 0.302 0.603 0.632 1
Tl2 Tl 0.308 0.616 0.161 1
Tl3 Tl 0.000 0.000 0.500 1
Tl4 Tl 0.692 0.384 0.839 1
Tl5 Tl 0.698 0.397 0.368 1
Ir1 Ir 0.718 0.000 0.000 1
Ir2 Ir 0.282 0.000 0.000 1
```

Density functional theory data (PBE) for crystalline Pm2TlIr2 at its relaxed geometry.

Results
space group = Immm
DFT formation energy = -0.545 eV/atom

Structure (CIF):
```
data_Pm2TlIr2
_chemical_formula_sum 'Pm2 Tl1 Ir2'
_cell_length_a 4.533
_cell_length_b 5.693
_cell_length_c 5.694
_cell_angle_alpha 63.86
_cell_angle_beta 66.55
_cell_angle_gamma 66.56
_space_group_name_H-M_alt 'P 1'
_space_group_IT_number 1
loop_
_space_group_symop_operation_xyz
'x,y,z'
loop_
_atom_site_label
_atom_site_type_symbol
_atom_site_fract_x
_atom_site_fract_y
_atom_site_fract_z
_atom_site_occupancy
Pm1 Pm 0.292 0.207 0.707 1
Pm2 Pm 0.708 0.793 0.293 1
Tl1 Tl 0.500 0.500 0.000 1
Ir1 Ir 0.000 0.210 0.290 1
Ir2 Ir 0.000 0.790 0.710 1
```

Density functional theory data (PBE) for crystalline Pm6Tl2Ir at its relaxed geometry.

Results
space group = Amm2
DFT formation energy = -0.384 eV/atom

Structure (CIF):
```
data_Pm6Tl2Ir
_chemical_formula_sum 'Pm6 Tl2 Ir1'
_cell_length_a 3.914
_cell_length_b 8.895
_cell_length_c 8.886
_cell_angle_alpha 120.03
_cell_angle_beta 90.00
_cell_angle_gamma 90.00
_space_group_name_H-M_alt 'P 1'
_space_group_IT_number 1
loop_
_space_group_symop_operation_xyz
'x,y,z'
loop_
_atom_site_label
_atom_site_type_symbol
_atom_site_fract_x
_atom_site_fract_y
_atom_site_fract_z
_atom_site_occupancy
Pm1 Pm 0.500 0.604 0.000 1
Pm2 Pm 0.500 0.395 0.395 1
Pm3 Pm 0.500 0.000 0.605 1
Pm4 Pm 0.000 0.242 0.000 1
Pm5 Pm 0.000 0.759 0.760 1
Pm6 Pm 0.000 0.999 0.240 1
Tl1 Tl 0.000 0.333 0.666 1
Tl2 Tl 0.000 0.667 0.334 1
Ir1 Ir 0.500 0.002 0.000 1
```

Density functional theory data (PBE) for crystalline Pm12TlIr6 at its relaxed geometry.

Results
space group = Im-3
DFT formation energy = -0.499 eV/atom

Structure (CIF):
```
data_Pm12TlIr6
_chemical_formula_sum 'Pm12 Tl1 Ir6'
_cell_length_a 8.853
_cell_length_b 8.853
_cell_length_c 8.853
_cell_angle_alpha 109.47
_cell_angle_beta 109.47
_cell_angle_gamma 109.47
_space_group_name_H-M_alt 'P 1'
_space_group_IT_number 1
loop_
_space_group_symop_operation_xyz
'x,y,z'
loop_
_atom_site_label
_atom_site_type_symbol
_atom_site_fract_x
_atom_site_fract_y
_atom_site_fract_z
_atom_site_occupancy
Pm1 Pm 0.303 0.112 0.809 1
Pm2 Pm 0.303 0.494 0.191 1
Pm3 Pm 0.697 0.506 0.809 1
Pm4 Pm 0.697 0.888 0.191 1
Pm5 Pm 0.112 0.809 0.303 1
Pm6 Pm 0.494 0.191 0.303 1
Pm7 Pm 0.506 0.809 0.697 1
Pm8 Pm 0.888 0.191 0.697 1
Pm9 Pm 0.809 0.303 0.112 1
Pm10 Pm 0.191 0.303 0.494 1
Pm11 Pm 0.809 0.697 0.506 1
Pm12 Pm 0.191 0.697 0.888 1
Tl1 Tl 0.000 0.000 0.000 1
Ir1 Ir 0.376 0.500 0.876 1
Ir2 Ir 0.624 0.500 0.124 1
Ir3 Ir 0.500 0.876 0.376 1
Ir4 Ir 0.500 0.124 0.624 1
Ir5 Ir 0.876 0.376 0.500 1
Ir6 Ir 0.124 0.624 0.500 1
```